Entry from Alexandria: a geometry-optimized BaSmC3N6 structure (PBE).

a b c (Å): 6.553 6.553 6.553
angles (deg): 106.20 106.20 106.20
Element x y z (fractional)
Ba 0.000 0.000 0.000
Sm 0.500 0.500 0.500
C 0.000 0.499 0.501
C 0.499 0.501 0.000
C 0.501 0.000 0.499
N 0.088 0.390 0.392
N 0.390 0.392 0.088
N 0.392 0.088 0.390
N 0.608 0.610 0.912
N 0.610 0.912 0.608
N 0.912 0.608 0.610

---

Entry from Alexandria: a geometry-optimized Pr6Ni2Br3N structure (PBE).

a b c (Å): 6.839 6.839 8.041
angles (deg): 98.09 98.09 119.91
Element x y z (fractional)
Pr 0.064 0.371 0.194
Pr 0.240 0.240 0.804
Pr 0.371 0.064 0.194
Pr 0.629 0.936 0.806
Pr 0.760 0.760 0.196
Pr 0.936 0.629 0.806
Ni 0.335 0.665 0.000
Ni 0.665 0.335 0.000
Br 0.172 0.828 0.500
Br 0.500 0.500 0.500
Br 0.828 0.172 0.500
N 0.000 0.000 0.000

---

Here are the calculated ΔE_f (raw) numbers, same order: -510; -1090 (kJ/mol of formula units).